This record from Alexandria describes a PBEsol-optimized structure of Zn2InRh2. The functional is SCAN.

a = 6.9977 Å, b = 6.9977 Å, c = 3.0930 Å
α = 90.00°, β = 90.00°, γ = 90.00°
With the nearest neighbours (Å) after each atom.
Sites, in units of the cell vectors:
Zn1 0.1476 0.3524 0.0000  6 Rh 2.55-2.58
Zn2 0.3524 0.8524 0.0000  6 Rh 2.55-2.58
Zn3 0.6476 0.1476 0.0000  6 Rh 2.55-2.58
Zn4 0.8524 0.6476 0.0000  6 Rh 2.55-2.58
In1 0.0000 0.0000 0.5000  4 Rh 2.67
In2 0.5000 0.5000 0.5000  4 Rh 2.67
Rh1 0.1475 0.6475 0.5000  6 Zn 2.55-2.58, 2 In 2.67
Rh2 0.3525 0.1475 0.5000  6 Zn 2.55-2.58, 2 In 2.67
Rh3 0.6475 0.8525 0.5000  6 Zn 2.55-2.58, 2 In 2.67
Rh4 0.8525 0.3525 0.5000  6 Zn 2.55-2.58, 2 In 2.67

Summary:
- total moment (μB/atom) = 0.00
- ΔH_f (0 K) (eV per atom) = -0.304